Entry 1:
A plane-wave DFT calculation with GGA-PBE was carried out for an optimized crystal structure of Rb3CdF.

Calculated values
As for the energy above the most stable polymorph in this dataset: 0.5905 eV/atom. The calculation puts the uncorrected formation energy at -0.4229 eV per atom. The size of the total moment is 0.000 μB per atom.

Unit cell a=6.9333 b=6.9333 c=6.9333 alpha=90.00 beta=90.00 gamma=90.00
Last column: nearest neighbours and their distance in Å.
Space group Pm-3m (No. 221)
Unique sites:
Rb: 0.0000 0.0000 0.5000  2 Cd 3.47
Cd: 0.0000 0.0000 0.0000  6 Rb 3.47
F: 0.5000 0.5000 0.5000  12 Rb 4.90

Entry 2:
A plane-wave DFT calculation with GGA-PBE was carried out for an optimized crystal structure of RbCd3F.

Calculated values
As for the energy above the most stable polymorph in this dataset: 0.0000 eV/atom. The calculation puts the uncorrected formation energy at -0.4350 eV per atom. The size of the total moment is 0.000 μB per atom.

Unit cell a=5.4807 b=5.4807 c=5.4807 alpha=90.00 beta=90.00 gamma=90.00
Last column: nearest neighbours and their distance in Å.
Space group Pm-3m (No. 221)
Unique sites:
Rb: 0.0000 0.0000 0.0000  12 Cd 3.88
Cd: 0.0000 0.5000 0.5000  2 F 2.74
F: 0.5000 0.5000 0.5000  6 Cd 2.74

Entry 3:
A plane-wave DFT calculation with GGA-PBE was carried out for an optimized crystal structure of Rb2Cd3F10.

Calculated values
The calculation puts the uncorrected formation energy at -2.0499 eV per atom. The size of the total moment is 0.134 μB per atom.

Unit cell a=20.3287 b=6.7269 c=8.5923 alpha=90.00 beta=112.63 gamma=90.00
Last column: nearest neighbours and their distance in Å.
Space group C2/m (No. 12)
Unique sites:
Rb: 0.1124 0.0000 0.2212  8 F 2.97-3.18
Rb: 0.2130 0.0000 0.8272  7 F 2.85-3.11
Cd: 0.0000 0.2454 0.5000  6 F 2.21-2.26
Cd: 0.0785 0.5000 0.9704  6 F 2.11-2.28
Cd: 0.1826 0.5000 0.5228  6 F 2.10-2.23
F: 0.0000 0.2925 0.0000  2 Cd 2.21
F: 0.0152 0.0000 0.6832  2 Cd 2.22
F: 0.0230 0.5000 0.6858  3 Cd 2.26
F: 0.1135 0.2528 0.5350  2 Cd 2.20-2.21
F: 0.1326 0.5000 0.2567  2 Cd 2.11-2.28
F: 0.1514 0.2689 0.9897  1 Cd 2.11
F: 0.2425 0.5000 0.7832  1 Cd 2.10
F: 0.2500 0.2500 0.5000  2 Cd 2.23

Which formula does entry 1 have? Rb3CdF

The highest size of the total moment belongs to which entry? Rb2Cd3F10

What is the formula in the first record? Rb3CdF